Record 1
# Sc2HgH

An optimized crystal structure of Sc2HgH (PBE-GGA, the Alexandria database).

Output
As for the energy above the most stable polymorph in this dataset: 38 meV per atom. Its total magnetization is 0.000 μB per atom. The calculation puts the total energy at -4.42 eV per atom.

Unit cell a=6.3989 b=6.3989 c=5.7087 alpha=55.91 beta=55.91 gamma=90.00
Fractional coordinates of all 8 atoms:
Sc: 0.3750 0.4813 0.7500
Sc: 0.5187 0.1250 0.2500
Sc: 0.2313 0.6250 0.2500
Sc: 0.8750 0.7687 0.7500
Hg: 0.0000 0.0000 0.0000
Hg: 0.7500 0.2500 0.5000
H: 0.2500 0.7500 0.5000
H: 0.5000 0.5000 0.0000

Record 2
# BaTmCd2

An optimized crystal structure of BaTmCd2 (PBE-GGA, the Alexandria database).

Output
As for the energy above the most stable polymorph in this dataset: 0 meV per atom. As for the energy of formation from the pure elements: -278.4 meV per atom. Its total magnetization is 0.000 μB per atom. The calculation puts the total energy at -2.33 eV per atom.

Unit cell a=3.8838 b=3.8838 c=8.1914 alpha=90.00 beta=90.00 gamma=90.00
Fractional coordinates of all 4 atoms:
Cd: 0.0000 0.0000 0.2000
Cd: 0.0000 0.0000 0.8000
Ba: 0.5000 0.5000 0.5000
Tm: 0.5000 0.5000 0.0000

Record 3
# FeCuRh2

An optimized crystal structure of FeCuRh2 (PBE-GGA, the Alexandria database).

Output
As for the energy of formation from the pure elements: 123.9 meV per atom. Its total magnetization is 1.084 μB per atom. The calculation puts the total energy at -6.69 eV per atom.

Unit cell a=5.0833 b=5.0833 c=2.6524 alpha=76.12 beta=76.12 gamma=116.67
Each line ends with the local moment (μB).
Fractional coordinates of all 4 atoms:
Fe: 0.0000 0.5000 0.5000  3.05
Rh: 0.0000 0.0000 0.0000  0.60
Rh: 0.5000 0.5000 0.0000  0.60
Cu: 0.5000 0.0000 0.5000  0.11

Record 4
# Dy2Er3Al4

An optimized crystal structure of Dy2Er3Al4 (PBE-GGA, the Alexandria database).

Output
As for the energy of formation from the pure elements: -207.2 meV per atom. Its total magnetization is 0.000 μB per atom. The calculation puts the total energy at -4.41 eV per atom.

Unit cell a=6.1619 b=7.5688 c=10.2112 alpha=90.00 beta=107.56 gamma=90.00
Fractional coordinates of all 18 atoms:
Er: 0.0000 0.0000 0.0000
Er: 0.4985 0.2500 0.4971
Er: 0.5015 0.7500 0.5029
Er: 0.5000 0.5000 0.0000
Er: 0.9985 0.2500 0.4971
Er: 0.0015 0.7500 0.5029
Al: 0.6630 0.7500 0.8259
Al: 0.8490 0.0107 0.6979
Al: 0.8370 0.2500 0.1741
Al: 0.3490 0.4893 0.6979
Al: 0.6510 0.5107 0.3021
Al: 0.1630 0.7500 0.8259
Al: 0.1510 0.9893 0.3021
Al: 0.3370 0.2500 0.1741
Dy: 0.0895 0.6035 0.1789
Dy: 0.5895 0.8965 0.1789
Dy: 0.4105 0.1035 0.8211
Dy: 0.9105 0.3965 0.8211

Record 5
# CeNi5Pb

An optimized crystal structure of CeNi5Pb (PBE-GGA, the Alexandria database).

Output
As for the energy of formation from the pure elements: -236.9 meV per atom. Its total magnetization is 0.000 μB per atom. The calculation puts the total energy at -5.74 eV per atom.

Unit cell a=4.9451 b=8.1717 c=10.4467 alpha=90.00 beta=90.00 gamma=90.00
Fractional coordinates of all 28 atoms:
Ni: 0.2500 0.9333 0.1107
Ni: 0.0017 0.4257 0.1852
Ni: 0.4983 0.9257 0.3148
Ni: 0.2500 0.6774 0.2434
Ni: 0.7500 0.3226 0.7566
Ni: 0.2500 0.1774 0.2566
Ni: 0.0017 0.9257 0.3148
Ni: 0.4983 0.4257 0.1852
Ni: 0.2500 0.5824 0.0195
Ni: 0.5017 0.5743 0.8148
Ni: 0.9983 0.0743 0.6852
Ni: 0.5017 0.0743 0.6852
Ni: 0.9983 0.5743 0.8148
Ni: 0.2500 0.0824 0.4805
Ni: 0.7500 0.0667 0.8893
Ni: 0.7500 0.9176 0.5195
Ni: 0.7500 0.4176 0.9805
Ni: 0.7500 0.5667 0.6107
Ni: 0.7500 0.8226 0.7434
Ni: 0.2500 0.4333 0.3893
Ce: 0.7500 0.7406 0.0590
Ce: 0.2500 0.2594 0.9410
Ce: 0.2500 0.7594 0.5591
Ce: 0.7500 0.2406 0.4410
Pb: 0.7500 0.1323 0.1371
Pb: 0.2500 0.8677 0.8629
Pb: 0.7500 0.6323 0.3629
Pb: 0.2500 0.3677 0.6371

Record 6
# DyY12Tm6

An optimized crystal structure of DyY12Tm6 (PBE-GGA, the Alexandria database).

Output
As for the energy above the most stable polymorph in this dataset: 7 meV per atom. As for the energy of formation from the pure elements: 153.7 meV per atom. Its total magnetization is 0.003 μB per atom. The calculation puts the total energy at -5.58 eV per atom.

Unit cell a=8.5141 b=8.5141 c=8.5141 alpha=87.79 beta=87.79 gamma=87.79
Fractional coordinates of all 19 atoms:
Y: 0.4353 0.7774 0.5428
Y: 0.6400 0.9899 0.7989
Y: 0.5428 0.4353 0.7774
Y: 0.7989 0.6400 0.9899
Y: 0.7774 0.5428 0.4353
Y: 0.2011 0.3600 0.0101
Y: 0.4572 0.5647 0.2226
Y: 0.3600 0.0101 0.2011
Y: 0.5647 0.2226 0.4572
Y: 0.9899 0.7989 0.6400
Y: 0.0101 0.2011 0.3600
Y: 0.2226 0.4572 0.5647
Tm: 0.7446 0.9062 0.3056
Tm: 0.2554 0.0938 0.6944
Tm: 0.3056 0.7446 0.9062
Tm: 0.0938 0.6944 0.2554
Tm: 0.9062 0.3056 0.7446
Tm: 0.6944 0.2554 0.0938
Dy: 0.0000 0.0000 0.0000

Record 7
# Rb

An optimized crystal structure of Rb (PBE-GGA, the Alexandria database).

Output
As for the energy above the most stable polymorph in this dataset: 4 meV per atom. As for the energy of formation from the pure elements: 3.9 meV per atom. Its total magnetization is 0.000 μB per atom. The calculation puts the total energy at -0.96 eV per atom.

Unit cell a=5.0308 b=5.0308 c=16.3036 alpha=90.00 beta=90.00 gamma=120.00
Fractional coordinates of all 4 atoms:
Rb: 0.6667 0.3333 0.2500
Rb: 0.0000 0.0000 0.0000
Rb: 0.3333 0.6667 0.7500
Rb: 0.0000 0.0000 0.5000

Record 8
# Ba5GaAs8

An optimized crystal structure of Ba5GaAs8 (PBE-GGA, the Alexandria database).

Output
As for the energy of formation from the pure elements: -727.2 meV per atom. Its total magnetization is 0.000 μB per atom. The calculation puts the total energy at -4.29 eV per atom.

Unit cell a=8.6717 b=8.6717 c=8.6717 alpha=109.11 beta=109.11 gamma=110.20
Fractional coordinates of all 14 atoms:
Ba: 0.3505 0.9222 0.0464
Ba: 0.0778 0.1241 0.4282
Ba: 0.5000 0.5000 0.0000
Ba: 0.8759 0.3041 0.9536
Ba: 0.6959 0.6495 0.5718
As: 0.6992 0.8760 0.9566
As: 0.3495 0.6062 0.6935
As: 0.1240 0.0806 0.8232
As: 0.2573 0.3008 0.1768
As: 0.3440 0.6505 0.2567
As: 0.3938 0.0872 0.7433
As: 0.9194 0.7427 0.0434
As: 0.9128 0.6560 0.3065
Ga: 0.2500 0.7500 0.5000

Record 9
# CrCd

An optimized crystal structure of CrCd (PBE-GGA, the Alexandria database).

Output
As for the energy of formation from the pure elements: 472.7 meV per atom. Its total magnetization is 0.050 μB per atom. The calculation puts the total energy at -4.80 eV per atom.

Unit cell a=4.4196 b=4.4196 c=9.0177 alpha=90.00 beta=90.00 gamma=120.00
Each line ends with the local moment (μB).
Fractional coordinates of all 8 atoms:
Cr: 0.3333 0.6667 0.2500  3.26
Cr: 0.6667 0.3333 0.7500  3.26
Cr: 0.0000 0.0000 0.2500  -3.20
Cr: 0.0000 0.0000 0.7500  -3.20
Cd: 0.3333 0.6667 0.5804  0.02
Cd: 0.6667 0.3333 0.4196  0.02
Cd: 0.6667 0.3333 0.0804  0.02
Cd: 0.3333 0.6667 0.9196  0.02

Record 10
# Pa2CdGa

An optimized crystal structure of Pa2CdGa (PBE-GGA, the Alexandria database).

Output
As for the energy above the most stable polymorph in this dataset: 179 meV per atom. As for the energy of formation from the pure elements: 149.3 meV per atom. Its total magnetization is 0.001 μB per atom. The calculation puts the total energy at -5.58 eV per atom.

Unit cell a=3.0989 b=3.0989 c=11.8714 alpha=82.50 beta=82.50 gamma=60.00
Fractional coordinates of all 4 atoms:
Cd: 0.0000 0.0000 0.0000
Pa: 0.9058 0.9058 0.2826
Pa: 0.0942 0.0942 0.7174
Ga: 0.5000 0.5000 0.5000

Record 11
# Y12Ho6In

An optimized crystal structure of Y12Ho6In (PBE-GGA, the Alexandria database).

Output
As for the energy above the most stable polymorph in this dataset: 38 meV per atom. As for the energy of formation from the pure elements: 103.1 meV per atom. Its total magnetization is 0.000 μB per atom. The calculation puts the total energy at -5.57 eV per atom.

Unit cell a=8.5804 b=8.5804 c=8.5804 alpha=97.40 beta=97.40 gamma=97.40
Fractional coordinates of all 19 atoms:
Y: 0.2599 0.0002 0.7401
Y: 0.9998 0.2599 0.7401
Y: 0.5790 0.5790 0.1721
Y: 0.7401 0.9998 0.2599
Y: 0.8279 0.4210 0.4210
Y: 0.2599 0.7401 0.9998
Y: 0.7401 0.2599 0.0002
Y: 0.1721 0.5790 0.5790
Y: 0.0002 0.7401 0.2599
Y: 0.4210 0.4210 0.8279
Y: 0.4210 0.8279 0.4210
Y: 0.5790 0.1721 0.5790
Ho: 0.5934 0.8651 0.8648
Ho: 0.1352 0.4066 0.1349
Ho: 0.4066 0.1349 0.1352
Ho: 0.1349 0.1352 0.4066
Ho: 0.8648 0.5934 0.8651
Ho: 0.8651 0.8648 0.5934
In: 0.0000 0.0000 0.0000

Record 12
# HfSb2TeS

An optimized crystal structure of HfSb2TeS (PBE-GGA, the Alexandria database).

Output
As for the energy above the most stable polymorph in this dataset: 88 meV per atom. Its total magnetization is 0.000 μB per atom. The calculation puts the total energy at -4.55 eV per atom. Its formation energy (no corrections) is 0.544 eV per atom.

Unit cell a=5.1369 b=5.1369 c=5.0644 alpha=90.00 beta=90.00 gamma=90.00
Fractional coordinates of all 5 atoms:
Sb: 0.5000 0.0000 0.0000
Sb: 0.0000 0.5000 0.0000
S: 0.0000 0.0000 0.0000
Hf: 0.5000 0.5000 0.5000
Te: 0.0000 0.0000 0.5000